A crystal of TlIn2 relaxed with PBEsol. Source: the Alexandria database, functional meta-GGA SCAN.

Computed properties:
Offset from the most stable computed form = 16 meV per atom
Energy of formation = 0.059 eV/atom

Structure (CIF):
```
data_TlIn2
_cell_length_a 3.3441
_cell_length_b 3.3441
_cell_length_c 8.1225
_cell_angle_alpha 90.00
_cell_angle_beta 90.00
_cell_angle_gamma 120.00
_space_group_name_H-M_alt 'P -3 m 1'
_space_group_IT_number 164
_space_group_name_Hall '-P 3 2"'
loop_
_atom_site_label
_atom_site_type_symbol
_atom_site_fract_x
_atom_site_fract_y
_atom_site_fract_z
_atom_site_occupancy
Tl1 Tl 0.0000 0.0000 0.0000 1
In1 In 0.3333 0.6667 0.3375 1
```

=====

A crystal of Tl2In relaxed with PBEsol. Source: the Alexandria database, functional meta-GGA SCAN.

Computed properties:
Energy of formation = 0.041 eV/atom

Structure (CIF):
```
data_Tl2In
_cell_length_a 12.435
_cell_length_b 3.411
_cell_length_c 7.972
_cell_angle_alpha 90.00
_cell_angle_beta 104.01
_cell_angle_gamma 90.00
_space_group_name_H-M_alt 'C 1 m 1'
_space_group_IT_number 8
loop_
_space_group_symop_operation_xyz
'x,y,z'
'x,-y,z'
'x+1/2,y+1/2,z'
'x+1/2,-y+1/2,z'
loop_
_atom_site_label
_atom_site_type_symbol
_atom_site_fract_x
_atom_site_fract_y
_atom_site_fract_z
_atom_site_occupancy
Tl1 Tl 0.000 0.000 0.000 1
Tl2 Tl 0.052 0.000 0.609 1
Tl3 Tl 0.224 0.500 0.942 1
Tl4 Tl 0.384 0.000 0.279 1
In1 In 0.163 0.500 0.335 1
In2 In 0.327 0.000 0.659 1
```

=====

A crystal of Tl2In relaxed with PBEsol. Source: the Alexandria database, functional meta-GGA SCAN.

Computed properties:
Energy of formation = 0.035 eV/atom

Structure (CIF):
```
data_Tl2In
_cell_length_a 3.362
_cell_length_b 3.362
_cell_length_c 14.387
_cell_angle_alpha 90.00
_cell_angle_beta 90.00
_cell_angle_gamma 90.00
_space_group_name_H-M_alt 'I 4/m m m'
_space_group_IT_number 139
_space_group_name_Hall '-I 4 2'
loop_
_atom_site_label
_atom_site_type_symbol
_atom_site_fract_x
_atom_site_fract_y
_atom_site_fract_z
_atom_site_occupancy
Tl1 Tl 0.000 0.000 0.162 1
In1 In 0.000 0.000 0.500 1
```

=====

What are the final energy values for these records? In order: -46.3176; -59.3269; -59.3327 eV per atom.
What are the magnetic moment values for these records? In order: 0.00; 0.00; 0.00 μB per formula unit.